A geometry-optimized SmY10Er4 structure. Source: Alexandria via LeMat-Bulk, functional GGA-PBE.

Unit cell a=7.685 b=9.411 c=9.411 alpha=80.40 beta=65.90 gamma=65.90
Element x y z (fractional)
Sm: 0.000 0.000 0.000
Y: 0.151 0.301 0.901
Y: 0.353 0.699 0.099
Y: 0.548 0.099 0.301
Y: 0.452 0.901 0.699
Y: 0.647 0.301 0.901
Y: 0.949 0.901 0.699
Y: 0.051 0.099 0.301
Y: 0.750 0.500 0.500
Y: 0.250 0.500 0.500
Y: 0.849 0.699 0.099
Er: 0.400 0.798 0.401
Er: 0.801 0.599 0.798
Er: 0.199 0.401 0.202
Er: 0.600 0.202 0.599

Computed properties:
The value obtained for the total energy is -5.108 eV per atom. The volume comes out at 37.81 Å³ per atom. The calculation puts the density of states at the Fermi level at 18.1 states/eV/cell. The value obtained for the formation energy is 0.73 eV per atom.